The following is a DFT calculation (PBE) of a relaxed structure of Rb2H6Ru.

Summary:
Its total energy is -3.5806 eV/atom. Its symmetry is C2/c, No. 15.

a b c (Å): 6.308 6.308 6.544
angles (deg): 89.99 89.99 120.72
Positions (direct):
Rb 0.337 0.662 0.999
Rb 0.338 0.663 0.501
Rb 0.663 0.338 0.001
Rb 0.662 0.337 0.499
H 0.724 0.778 0.249
H 0.222 0.276 0.251
H 0.276 0.222 0.751
H 0.778 0.724 0.749
H 0.989 0.687 0.251
H 0.313 0.011 0.249
H 0.011 0.313 0.749
H 0.687 0.989 0.751
H 0.079 0.924 0.541
H 0.076 0.921 0.959
H 0.921 0.076 0.459
H 0.924 0.079 0.041
Ru 0.029 0.971 0.250
Ru 0.971 0.029 0.750